No. 1
Below is an optimized crystal structure of GaAs2Se, with properties calculated at the PBE-GGA level.

The structure in CIF format:
```
data_GaAs2Se
_cell_length_a 5.567
_cell_length_b 5.567
_cell_length_c 13.628
_cell_angle_alpha 90.00
_cell_angle_beta 90.00
_cell_angle_gamma 90.00
_symmetry_space_group_name_H-M 'I -4 2 d'
_symmetry_Int_Tables_number 122
_symmetry_space_group_name_Hall 'I -4 2bw'
loop_
_atom_site_label
_atom_site_type_symbol
_atom_site_fract_x
_atom_site_fract_y
_atom_site_fract_z
Ga1 Ga 0.000 0.000 0.000
As1 As 0.238 0.250 0.125
Se1 Se 0.000 0.000 0.500
```

electronic total energy = -3.79 eV per atom

No. 2
Below is an optimized crystal structure of GaAsSe3, with properties calculated at the PBE-GGA level.

The structure in CIF format:
```
data_GaAsSe3
_cell_length_a 5.107
_cell_length_b 5.107
_cell_length_c 5.107
_cell_angle_alpha 90.00
_cell_angle_beta 90.00
_cell_angle_gamma 90.00
_symmetry_space_group_name_H-M 'P m -3 m'
_symmetry_Int_Tables_number 221
_symmetry_space_group_name_Hall '-P 4 2 3'
loop_
_atom_site_label
_atom_site_type_symbol
_atom_site_fract_x
_atom_site_fract_y
_atom_site_fract_z
Ga1 Ga 0.000 0.000 0.000
As1 As 0.500 0.500 0.500
Se1 Se 0.000 0.500 0.500
```

electronic total energy = -3.33 eV per atom

Question: Which of these has the lowest electronic total energy?
Answer: GaAs2Se